(1)
Entry from Alexandria: YMg2CdI after structural relaxation (PBE).

The value obtained for the formation energy (no corrections) is 0.07 eV/f.u. As for the space-group type: P4/mmm. The calculation puts the final energy at -12.1 eV for the cell shown.

a = 5.2202 Å, b = 5.2202 Å, c = 5.9379 Å
α = 90.00°, β = 90.00°, γ = 90.00°
Fractional positions:
Y: 0.0000 0.0000 0.0000
Mg: 0.0000 0.5000 0.5000
Mg: 0.5000 0.0000 0.5000
Cd: 0.0000 0.0000 0.5000
I: 0.5000 0.5000 0.0000



(2)
Entry from Alexandria: ErGa2Ag after structural relaxation (PBE).

As for the space-group type: P4/mmm. The calculation puts the final energy at -14.6 eV for the cell shown. As for the formation energy: -1.091 eV/f.u.

a = 3.3799 Å, b = 3.3799 Å, c = 6.9058 Å
α = 90.00°, β = 90.00°, γ = 90.00°
Fractional positions:
Er: 0.0000 0.0000 0.0000
Ga: 0.5000 0.5000 0.2815
Ga: 0.5000 0.5000 0.7185
Ag: 0.0000 0.0000 0.5000



(3)
Entry from Alexandria: Li4CaAu8 after structural relaxation (PBE).

As for the space-group type: I4/mmm. The calculation puts the final energy at -42.1 eV for the cell shown. As for the formation energy: -6.260 eV/f.u.

a = 7.0655 Å, b = 7.0655 Å, c = 7.0655 Å
α = 98.05°, β = 98.05°, γ = 136.04°
Fractional positions:
Li: 0.0000 0.0000 0.5000
Li: 0.0000 0.5000 0.0000
Li: 0.5000 0.0000 0.0000
Li: 0.5000 0.5000 0.5000
Ca: 0.0000 0.0000 0.0000
Au: 0.0000 0.3397 0.3397
Au: 0.0000 0.6603 0.6603
Au: 0.2788 0.5000 0.7788
Au: 0.3397 0.0000 0.3397
Au: 0.5000 0.2788 0.7788
Au: 0.5000 0.7212 0.2212
Au: 0.6603 0.0000 0.6603
Au: 0.7212 0.5000 0.2212



(4)
Entry from Alexandria: SiAgMo after structural relaxation (PBE).

The value obtained for the formation energy (no corrections) is 0.98 eV/f.u. Its offset from the most stable computed form is 0.067 eV/atom. As for the space-group type: Imm2. The calculation puts the final energy at -18.1 eV for the cell shown.

a = 5.5212 Å, b = 5.5212 Å, c = 5.5212 Å
α = 150.75°, β = 144.33°, γ = 46.77°
Fractional positions:
Si: 0.0000 0.0000 0.0000
Ag: 0.3283 0.3283 0.0000
Mo: 0.6297 0.6297 0.0000



(5)
Entry from Alexandria: Li2La2Ag after structural relaxation (PBE).

Its offset from the most stable computed form is 0.000 eV/atom. As for the space-group type: P4/mbm. The calculation puts the final energy at -33.2 eV for the cell shown. As for the formation energy: -0.060 eV/f.u.

a = 6.8920 Å, b = 6.8920 Å, c = 5.3112 Å
α = 90.00°, β = 90.00°, γ = 90.00°
Fractional positions:
Li: 0.1376 0.3624 0.0000
Li: 0.3624 0.8624 0.0000
Li: 0.6376 0.1376 0.0000
Li: 0.8624 0.6376 0.0000
La: 0.1764 0.6764 0.5000
La: 0.3236 0.1764 0.5000
La: 0.6764 0.8236 0.5000
La: 0.8236 0.3236 0.5000
Ag: 0.0000 0.0000 0.0000
Ag: 0.5000 0.5000 0.0000



(6)
Entry from Alexandria: Y11Tm5O24 after structural relaxation (PBE).

The value obtained for the formation energy (no corrections) is -143.54 eV/f.u. As for the space-group type: P1. The calculation puts the final energy at -356.0 eV for the cell shown.

a = 9.2023 Å, b = 9.2024 Å, c = 9.2029 Å
α = 109.46°, β = 109.45°, γ = 109.42°
Fractional positions:
Y: 0.0000 0.0000 0.0000
Y: 0.9995 0.4977 0.4958
Y: 0.2499 0.7805 0.0322
Y: 0.2819 0.0310 0.7471
Y: 0.4676 0.2499 0.2168
Y: 0.4998 0.9976 0.4988
Y: 0.5016 0.4986 0.9984
Y: 0.5321 0.7484 0.7784
Y: 0.7194 0.9656 0.2486
Y: 0.7826 0.5313 0.7484
Y: 0.9684 0.2480 0.7166
Tm: 0.0328 0.7479 0.2815
Tm: 0.2168 0.4660 0.2487
Tm: 0.2498 0.2811 0.5300
Tm: 0.7501 0.7149 0.4643
Tm: 0.7514 0.2176 0.9665
O: 0.0134 0.2422 0.9711
O: 0.0291 0.7689 0.5375
O: 0.0428 0.5300 0.7685
O: 0.2276 0.9873 0.9559
O: 0.2308 0.2601 0.7688
O: 0.2394 0.2301 0.2720
O: 0.2562 0.0292 0.4824
O: 0.2693 0.7252 0.2606
O: 0.2702 0.5393 0.5259
O: 0.4584 0.7269 0.9870
O: 0.4685 0.5136 0.2408
O: 0.4905 0.9587 0.7284
O: 0.5126 0.0419 0.2718
O: 0.5276 0.4838 0.7536
O: 0.5464 0.2709 0.0108
O: 0.7290 0.2691 0.7411
O: 0.7297 0.4586 0.4662
O: 0.7403 0.9640 0.5098
O: 0.7620 0.7713 0.7251
O: 0.7709 0.0134 0.0400
O: 0.7735 0.7364 0.2283
O: 0.9574 0.4673 0.2240
O: 0.9724 0.2273 0.4558
O: 0.9875 0.7591 0.0332



(7)
Entry from Alexandria: SmIn2Pt2 after structural relaxation (PBE).

As for the space-group type: P2_1/m. The calculation puts the final energy at -52.1 eV for the cell shown. As for the formation energy: -3.793 eV/f.u.

a = 5.3331 Å, b = 4.7248 Å, c = 9.1621 Å
α = 90.00°, β = 104.25°, γ = 90.00°
Fractional positions:
Sm: 0.1743 0.2500 0.2707
Sm: 0.8257 0.7500 0.7293
In: 0.2178 0.2500 0.6299
In: 0.3597 0.7500 0.0410
In: 0.6403 0.2500 0.9590
In: 0.7822 0.7500 0.3701
Pt: 0.1141 0.2500 0.9081
Pt: 0.3335 0.7500 0.4903
Pt: 0.6665 0.2500 0.5097
Pt: 0.8859 0.7500 0.0919



(8)
Entry from Alexandria: GaNi7Sb2P2 after structural relaxation (PBE).

The value obtained for the formation energy (no corrections) is -3.84 eV/f.u. As for the space-group type: C2/m. The calculation puts the final energy at -66.4 eV for the cell shown.

a = 3.6024 Å, b = 3.6024 Å, c = 13.9906 Å
α = 97.35°, β = 97.35°, γ = 90.00°
Fractional positions:
Ga: 0.0000 0.0000 0.0000
Ni: 0.0660 0.5659 0.1330
Ni: 0.3074 0.3074 0.6151
Ni: 0.4341 0.9340 0.8670
Ni: 0.5000 0.5000 0.0000
Ni: 0.5659 0.0660 0.1330
Ni: 0.6926 0.6926 0.3849
Ni: 0.9340 0.4341 0.8670
Sb: 0.2106 0.2106 0.4214
Sb: 0.7894 0.7894 0.5786
P: 0.3883 0.3883 0.7753
P: 0.6117 0.6117 0.2247



(9)
Entry from Alexandria: Pr2OsI after structural relaxation (PBE).

The value obtained for the formation energy (no corrections) is -1.67 eV/f.u. Its offset from the most stable computed form is 0.051 eV/atom. As for the space-group type: P4/mmm. The calculation puts the final energy at -24.0 eV for the cell shown.

a = 3.5750 Å, b = 3.5750 Å, c = 8.6673 Å
α = 90.00°, β = 90.00°, γ = 90.00°
Fractional positions:
Pr: 0.0000 0.0000 0.2022
Pr: 0.0000 0.0000 0.7978
Os: 0.5000 0.5000 0.0000
I: 0.5000 0.5000 0.5000



(10)
Entry from Alexandria: PaAgPbSe4 after structural relaxation (PBE).

The value obtained for the formation energy (no corrections) is -5.27 eV/f.u. As for the space-group type: Imma. The calculation puts the final energy at -70.5 eV for the cell shown.

a = 8.5693 Å, b = 8.5693 Å, c = 8.5693 Å
α = 120.55°, β = 120.11°, γ = 89.43°
Fractional positions:
Pa: 0.0000 0.0000 0.0000
Pa: 0.5000 0.0000 0.5000
Ag: 0.5000 0.0000 0.0000
Ag: 0.5000 0.5000 0.5000
Pb: 0.0934 0.3434 0.7500
Pb: 0.9066 0.6566 0.2500
Se: 0.2382 0.2048 0.4666
Se: 0.2382 0.7716 0.0334
Se: 0.2668 0.2256 0.0412
Se: 0.3156 0.7744 0.5412
Se: 0.6844 0.2256 0.4588
Se: 0.7332 0.7744 0.9588
Se: 0.7618 0.2284 0.9666
Se: 0.7618 0.7952 0.5334



(11)
Entry from Alexandria: K2BeSe after structural relaxation (PBE).

The value obtained for the formation energy (no corrections) is -1.25 eV/f.u. Its offset from the most stable computed form is 0.000 eV/atom. As for the space-group type: Cm. The calculation puts the final energy at -10.7 eV for the cell shown.

a = 6.6712 Å, b = 6.6712 Å, c = 4.8929 Å
α = 99.69°, β = 99.69°, γ = 40.81°
Fractional positions:
K: 0.0000 0.0000 0.0000
K: 0.7141 0.7141 0.6015
Be: 0.2924 0.2924 0.1787
Se: 0.4342 0.4342 0.4637



(12)
Entry from Alexandria: CsK2InAu after structural relaxation (PBE).

Its offset from the most stable computed form is 0.096 eV/atom. As for the space-group type: P4/mmm. The calculation puts the final energy at -9.2 eV for the cell shown. As for the formation energy: -0.091 eV/f.u.

a = 6.9000 Å, b = 6.9000 Å, c = 5.3094 Å
α = 90.00°, β = 90.00°, γ = 90.00°
Fractional positions:
Cs: 0.0000 0.0000 0.0000
K: 0.0000 0.5000 0.5000
K: 0.5000 0.0000 0.5000
In: 0.5000 0.5000 0.5000
Au: 0.5000 0.5000 0.0000



(13)
Entry from Alexandria: NaSnSbTe2 after structural relaxation (PBE).

The value obtained for the formation energy (no corrections) is 2.62 eV/f.u. Its offset from the most stable computed form is 0.341 eV/atom. As for the space-group type: P4/mmm. The calculation puts the final energy at -13.1 eV for the cell shown.

a = 5.6021 Å, b = 5.6021 Å, c = 5.2774 Å
α = 90.00°, β = 90.00°, γ = 90.00°
Fractional positions:
Na: 0.0000 0.0000 0.0000
Sn: 0.5000 0.5000 0.5000
Sb: 0.0000 0.0000 0.5000
Te: 0.0000 0.5000 0.0000
Te: 0.5000 0.0000 0.0000



(14)
Entry from Alexandria: TiFe2GeH after structural relaxation (PBE).

Its offset from the most stable computed form is 0.000 eV/atom. As for the space-group type: P4/mmm. The calculation puts the final energy at -34.1 eV for the cell shown.

a = 3.7267 Å, b = 3.7267 Å, c = 3.9975 Å
α = 90.00°, β = 90.00°, γ = 90.00°
Fractional positions:
Ti: 0.0000 0.0000 0.0000
Fe: 0.0000 0.5000 0.5000
Fe: 0.5000 0.0000 0.5000
Ge: 0.5000 0.5000 0.0000
H: 0.0000 0.0000 0.5000



(15)
Entry from Alexandria: Si2TcAs after structural relaxation (PBE).

The value obtained for the formation energy (no corrections) is 1.40 eV/f.u. As for the space-group type: Cmm2. The calculation puts the final energy at -24.5 eV for the cell shown.

a = 2.9246 Å, b = 2.9246 Å, c = 7.8458 Å
α = 90.00°, β = 90.00°, γ = 111.99°
Fractional positions:
Si: 0.0000 0.0000 0.0000
Si: 0.5000 0.5000 0.2383
Tc: 0.5000 0.5000 0.7720
As: 0.0000 0.0000 0.5196



(16)
Entry from Alexandria: CdCuSbI2 after structural relaxation (PBE).

The value obtained for the formation energy (no corrections) is 1.57 eV/f.u. Its offset from the most stable computed form is 0.000 eV/atom. As for the space-group type: P4/mmm. The calculation puts the final energy at -10.7 eV for the cell shown.

a = 5.4850 Å, b = 5.4850 Å, c = 5.2024 Å
α = 90.00°, β = 90.00°, γ = 90.00°
Fractional positions:
Cd: 0.0000 0.0000 0.0000
Cu: 0.5000 0.5000 0.5000
Sb: 0.5000 0.5000 0.0000
I: 0.0000 0.5000 0.5000
I: 0.5000 0.0000 0.5000



(17)
Entry from Alexandria: Pu2MnGe4Ir3 after structural relaxation (PBE).

As for the space-group type: P-4m2. The calculation puts the final energy at -87.6 eV for the cell shown. As for the formation energy: -4.691 eV/f.u.

a = 4.1716 Å, b = 4.1716 Å, c = 10.4820 Å
α = 90.00°, β = 90.00°, γ = 90.00°
Fractional positions:
Pu: 0.0000 0.5000 0.2482
Pu: 0.5000 0.0000 0.7518
Mn: 0.0000 0.0000 0.5000
Ge: 0.0000 0.0000 0.0000
Ge: 0.0000 0.5000 0.6344
Ge: 0.5000 0.0000 0.3656
Ge: 0.5000 0.5000 0.0000
Ir: 0.0000 0.5000 0.8699
Ir: 0.5000 0.0000 0.1301
Ir: 0.5000 0.5000 0.5000



(18)
Entry from Alexandria: FeMoAs2 after structural relaxation (PBE).

Its offset from the most stable computed form is 0.308 eV/atom. As for the space-group type: R-3m. The calculation puts the final energy at -28.1 eV for the cell shown. As for the formation energy: 0.505 eV/f.u.

a = 7.7292 Å, b = 7.7292 Å, c = 7.7292 Å
α = 22.87°, β = 22.87°, γ = 22.87°
Fractional positions:
Fe: 0.0000 0.0000 0.0000
Mo: 0.5000 0.5000 0.5000
As: 0.2531 0.2531 0.2531
As: 0.7469 0.7469 0.7469



(19)
Entry from Alexandria: TmLuSi after structural relaxation (PBE).

The value obtained for the formation energy (no corrections) is -1.31 eV/f.u. As for the space-group type: F-43m. The calculation puts the final energy at -15.7 eV for the cell shown.

a = 4.7460 Å, b = 4.7460 Å, c = 4.7460 Å
α = 60.00°, β = 60.00°, γ = 60.00°
Fractional positions:
Tm: 0.0000 0.0000 0.0000
Lu: 0.5000 0.5000 0.5000
Si: 0.2500 0.2500 0.2500



(20)
Entry from Alexandria: LaCdFeNi2 after structural relaxation (PBE).

As for the space-group type: P4/mmm. The calculation puts the final energy at -23.3 eV for the cell shown. As for the formation energy: 2.582 eV/f.u.

a = 4.6091 Å, b = 4.6091 Å, c = 4.8956 Å
α = 90.00°, β = 90.00°, γ = 90.00°
Fractional positions:
La: 0.0000 0.0000 0.0000
Cd: 0.5000 0.5000 0.0000
Fe: 0.0000 0.0000 0.5000
Ni: 0.0000 0.5000 0.5000
Ni: 0.5000 0.0000 0.5000